# ScInNi6, relaxed, DFT GGA-PBE
# - DOS at the Fermi energy (states/eV/f.u.) = 8.801
data_ScInNi6
_space_group_name_H-M_alt 'C m m m'
_space_group_IT_number 65
_space_group_name_Hall '-C 2 2'
_cell_length_a 7.454
_cell_length_b 10.542
_cell_length_c 10.542
_cell_angle_alpha 90.00
_cell_angle_beta 90.00
_cell_angle_gamma 90.00
loop_
_atom_site_label
_atom_site_fract_x
_atom_site_fract_y
_atom_site_fract_z
Sc1 0.000 0.000 0.249
Sc2 0.000 0.249 0.000
In1 0.000 0.247 0.500
In2 0.000 0.500 0.249
Ni1 0.000 0.000 0.000
Ni2 0.000 0.000 0.500
Ni3 0.000 0.249 0.249
Ni4 0.000 0.500 0.000
Ni5 0.000 0.500 0.500
Ni6 0.249 0.126 0.124
Ni7 0.249 0.375 0.374



# ScInNi2, relaxed, DFT GGA-PBE
# - DOS at the Fermi energy (states/eV/f.u.) = 3.031
data_ScInNi2
_space_group_name_H-M_alt 'R -3 m'
_space_group_IT_number 166
_space_group_name_Hall '-R 3 2"'
_cell_length_a 3.1916
_cell_length_b 3.1916
_cell_length_c 23.1233
_cell_angle_alpha 90.00
_cell_angle_beta 90.00
_cell_angle_gamma 120.00
loop_
_atom_site_label
_atom_site_fract_x
_atom_site_fract_y
_atom_site_fract_z
Sc1 0.0000 0.0000 0.0000
In1 0.0000 0.0000 0.5000
Ni1 0.0000 0.0000 0.2512



# ScInNi, relaxed, DFT GGA-PBE
# - DOS at the Fermi energy (states/eV/f.u.) = 2.959
data_ScInNi
_space_group_name_H-M_alt 'P 3 m 1'
_space_group_IT_number 156
_space_group_name_Hall 'P 3 -2"'
_cell_length_a 3.3746
_cell_length_b 3.3746
_cell_length_c 6.0560
_cell_angle_alpha 90.00
_cell_angle_beta 90.00
_cell_angle_gamma 120.00
loop_
_atom_site_label
_atom_site_fract_x
_atom_site_fract_y
_atom_site_fract_z
Sc1 0.0000 0.0000 0.0000
In1 0.6667 0.3333 0.4188
Ni1 0.3333 0.6667 0.7245



# ScInNi2, relaxed, DFT GGA-PBE
# - DOS at the Fermi energy (states/eV/f.u.) = 2.705
data_ScInNi2
_space_group_name_H-M_alt 'I -4 2 d'
_space_group_IT_number 122
_space_group_name_Hall 'I -4 2bw'
_cell_length_a 6.970
_cell_length_b 6.970
_cell_length_c 5.707
_cell_angle_alpha 90.00
_cell_angle_beta 90.00
_cell_angle_gamma 90.00
loop_
_atom_site_label
_atom_site_fract_x
_atom_site_fract_y
_atom_site_fract_z
Sc1 0.000 0.000 0.000
In1 0.000 0.000 0.500
Ni1 0.243 0.250 0.125



# Sc2InNi, relaxed, DFT GGA-PBE
# - DOS at the Fermi energy (states/eV/f.u.) = 4.623
data_Sc2InNi
_space_group_name_H-M_alt 'F -4 3 m'
_space_group_IT_number 216
_space_group_name_Hall 'F -4 2 3'
_cell_length_a 6.687
_cell_length_b 6.687
_cell_length_c 6.687
_cell_angle_alpha 90.00
_cell_angle_beta 90.00
_cell_angle_gamma 90.00
loop_
_atom_site_label
_atom_site_fract_x
_atom_site_fract_y
_atom_site_fract_z
Sc1 0.000 0.000 0.000
Sc2 0.250 0.250 0.250
In1 0.000 0.000 0.500
Ni1 0.250 0.250 0.750



# Sc3InNi, relaxed, DFT GGA-PBE
# - DOS at the Fermi energy (states/eV/f.u.) = 3.543
# - distance to the lowest polymorph of the same formula (meV/atom) = 0.0
data_Sc3InNi
_space_group_name_H-M_alt 'P 63/m m c'
_space_group_IT_number 194
_space_group_name_Hall '-P 6c 2c'
_cell_length_a 7.0706
_cell_length_b 7.0706
_cell_length_c 4.9796
_cell_angle_alpha 90.00
_cell_angle_beta 90.00
_cell_angle_gamma 120.00
loop_
_atom_site_label
_atom_site_fract_x
_atom_site_fract_y
_atom_site_fract_z
Sc1 0.1820 0.3640 0.2500
In1 0.3333 0.6667 0.7500
Ni1 0.0000 0.0000 0.0000



# ScIn2Ni2, relaxed, DFT GGA-PBE
# - DOS at the Fermi energy (states/eV/f.u.) = 4.261
# - distance to the lowest polymorph of the same formula (meV/atom) = 125.5
data_ScIn2Ni2
_space_group_name_H-M_alt 'P 4/m b m'
_space_group_IT_number 127
_space_group_name_Hall '-P 4 2ab'
_cell_length_a 6.773
_cell_length_b 6.773
_cell_length_c 3.831
_cell_angle_alpha 90.00
_cell_angle_beta 90.00
_cell_angle_gamma 90.00
loop_
_atom_site_label
_atom_site_fract_x
_atom_site_fract_y
_atom_site_fract_z
Sc1 0.000 0.000 0.000
In1 0.171 0.329 0.500
Ni1 0.128 0.628 0.000



# Sc5In4Ni, relaxed, DFT GGA-PBE
# - DOS at the Fermi energy (states/eV/f.u.) = 5.485
data_Sc5In4Ni
_space_group_name_H-M_alt 'P 4/m m m'
_space_group_IT_number 123
_space_group_name_Hall '-P 4 2'
_cell_length_a 3.293
_cell_length_b 3.293
_cell_length_c 19.685
_cell_angle_alpha 90.00
_cell_angle_beta 90.00
_cell_angle_gamma 90.00
loop_
_atom_site_label
_atom_site_fract_x
_atom_site_fract_y
_atom_site_fract_z
Sc1 0.000 0.000 0.000
Sc2 0.000 0.000 0.212
Sc3 0.000 0.000 0.424
In1 0.500 0.500 0.106
In2 0.500 0.500 0.317
Ni1 0.500 0.500 0.500



# ScIn2Ni2, relaxed, DFT GGA-PBE
# - DOS at the Fermi energy (states/eV/f.u.) = 3.689
# - distance to the lowest polymorph of the same formula (meV/atom) = 289.7
data_ScIn2Ni2
_space_group_name_H-M_alt 'I 4/m m m'
_space_group_IT_number 139
_space_group_name_Hall '-I 4 2'
_cell_length_a 3.881
_cell_length_b 3.881
_cell_length_c 12.357
_cell_angle_alpha 90.00
_cell_angle_beta 90.00
_cell_angle_gamma 90.00
loop_
_atom_site_label
_atom_site_fract_x
_atom_site_fract_y
_atom_site_fract_z
Sc1 0.000 0.000 0.000
In1 0.000 0.000 0.384
Ni1 0.000 0.500 0.250



# Sc2InNi, relaxed, DFT GGA-PBE
# - DOS at the Fermi energy (states/eV/f.u.) = 2.938
data_Sc2InNi
_space_group_name_H-M_alt 'P 4/m m m'
_space_group_IT_number 123
_space_group_name_Hall '-P 4 2'
_cell_length_a 4.704
_cell_length_b 4.704
_cell_length_c 3.524
_cell_angle_alpha 90.00
_cell_angle_beta 90.00
_cell_angle_gamma 90.00
loop_
_atom_site_label
_atom_site_fract_x
_atom_site_fract_y
_atom_site_fract_z
Sc1 0.000 0.500 0.000
In1 0.000 0.000 0.500
Ni1 0.500 0.500 0.500



# ScIn2Ni, relaxed, DFT GGA-PBE
# - DOS at the Fermi energy (states/eV/f.u.) = 4.097
data_ScIn2Ni
_space_group_name_H-M_alt 'P 4/m m m'
_space_group_IT_number 123
_space_group_name_Hall '-P 4 2'
_cell_length_a 4.217
_cell_length_b 4.217
_cell_length_c 4.353
_cell_angle_alpha 90.00
_cell_angle_beta 90.00
_cell_angle_gamma 90.00
loop_
_atom_site_label
_atom_site_fract_x
_atom_site_fract_y
_atom_site_fract_z
Sc1 0.000 0.000 0.000
In1 0.000 0.500 0.500
Ni1 0.500 0.500 0.000



# ScIn2Ni, relaxed, DFT GGA-PBE
# - DOS at the Fermi energy (states/eV/f.u.) = 3.700
data_ScIn2Ni
_space_group_name_H-M_alt 'P 1 2/m 1'
_space_group_IT_number 10
_space_group_name_Hall '-P 2y'
_cell_length_a 3.305
_cell_length_b 4.468
_cell_length_c 5.590
_cell_angle_alpha 90.00
_cell_angle_beta 102.49
_cell_angle_gamma 90.00
loop_
_atom_site_label
_atom_site_fract_x
_atom_site_fract_y
_atom_site_fract_z
Sc1 0.000 0.000 0.000
In1 0.365 0.500 0.732
Ni1 0.500 0.000 0.500



# ScIn2Ni, relaxed, DFT GGA-PBE
# - DOS at the Fermi energy (states/eV/f.u.) = 2.896
data_ScIn2Ni
_space_group_name_H-M_alt 'F -4 3 m'
_space_group_IT_number 216
_space_group_name_Hall 'F -4 2 3'
_cell_length_a 6.742
_cell_length_b 6.742
_cell_length_c 6.742
_cell_angle_alpha 90.00
_cell_angle_beta 90.00
_cell_angle_gamma 90.00
loop_
_atom_site_label
_atom_site_fract_x
_atom_site_fract_y
_atom_site_fract_z
Sc1 0.000 0.000 0.000
In1 0.000 0.000 0.500
In2 0.250 0.250 0.750
Ni1 0.250 0.250 0.250



# ScInNi2, relaxed, DFT GGA-PBE
# - DOS at the Fermi energy (states/eV/f.u.) = 1.851
data_ScInNi2
_space_group_name_H-M_alt 'A m m 2'
_space_group_IT_number 38
_space_group_name_Hall 'A 2 -2'
_cell_length_a 4.007
_cell_length_b 3.428
_cell_length_c 9.528
_cell_angle_alpha 90.00
_cell_angle_beta 90.00
_cell_angle_gamma 90.00
loop_
_atom_site_label
_atom_site_fract_x
_atom_site_fract_y
_atom_site_fract_z
Sc1 0.000 0.000 0.000
In1 0.500 0.000 0.705
Ni1 0.000 0.000 0.284
Ni2 0.500 0.000 0.429



# Sc3InNi, relaxed, DFT GGA-PBE
# - DOS at the Fermi energy (states/eV/f.u.) = 8.927
# - distance to the lowest polymorph of the same formula (meV/atom) = 147.3
data_Sc3InNi
_space_group_name_H-M_alt 'P m -3 m'
_space_group_IT_number 221
_space_group_name_Hall '-P 4 2 3'
_cell_length_a 4.874
_cell_length_b 4.874
_cell_length_c 4.874
_cell_angle_alpha 90.00
_cell_angle_beta 90.00
_cell_angle_gamma 90.00
loop_
_atom_site_label
_atom_site_fract_x
_atom_site_fract_y
_atom_site_fract_z
Sc1 0.000 0.000 0.500
In1 0.500 0.500 0.500
Ni1 0.000 0.000 0.000



# ScInNi, relaxed, DFT GGA-PBE
# - DOS at the Fermi energy (states/eV/f.u.) = 1.979
data_ScInNi
_space_group_name_H-M_alt 'F -4 3 m'
_space_group_IT_number 216
_space_group_name_Hall 'F -4 2 3'
_cell_length_a 6.412
_cell_length_b 6.412
_cell_length_c 6.412
_cell_angle_alpha 90.00
_cell_angle_beta 90.00
_cell_angle_gamma 90.00
loop_
_atom_site_label
_atom_site_fract_x
_atom_site_fract_y
_atom_site_fract_z
Sc1 0.000 0.000 0.000
In1 0.250 0.250 0.750
Ni1 0.250 0.250 0.250



# ScIn2Ni, relaxed, DFT GGA-PBE
# - DOS at the Fermi energy (states/eV/f.u.) = 1.645
data_ScIn2Ni
_space_group_name_H-M_alt 'P 1 m 1'
_space_group_IT_number 6
_space_group_name_Hall 'P -2y'
_cell_length_a 3.499
_cell_length_b 3.831
_cell_length_c 6.430
_cell_angle_alpha 90.00
_cell_angle_beta 105.47
_cell_angle_gamma 90.00
loop_
_atom_site_label
_atom_site_fract_x
_atom_site_fract_y
_atom_site_fract_z
Sc1 0.000 0.000 0.000
In1 0.283 0.000 0.564
In2 0.645 0.500 0.292
Ni1 0.435 0.500 0.866



# ScInNi2, relaxed, DFT GGA-PBE
# - DOS at the Fermi energy (states/eV/f.u.) = 2.694
data_ScInNi2
_space_group_name_H-M_alt 'P 4/m m m'
_space_group_IT_number 123
_space_group_name_Hall '-P 4 2'
_cell_length_a 4.377
_cell_length_b 4.377
_cell_length_c 3.284
_cell_angle_alpha 90.00
_cell_angle_beta 90.00
_cell_angle_gamma 90.00
loop_
_atom_site_label
_atom_site_fract_x
_atom_site_fract_y
_atom_site_fract_z
Sc1 0.000 0.000 0.000
In1 0.500 0.500 0.000
Ni1 0.000 0.500 0.500



# Sc4In3Ni, relaxed, DFT GGA-PBE
# - DOS at the Fermi energy (states/eV/f.u.) = 5.283
data_Sc4In3Ni
_space_group_name_H-M_alt 'P 4/m m m'
_space_group_IT_number 123
_space_group_name_Hall '-P 4 2'
_cell_length_a 3.226
_cell_length_b 3.226
_cell_length_c 16.132
_cell_angle_alpha 90.00
_cell_angle_beta 90.00
_cell_angle_gamma 90.00
loop_
_atom_site_label
_atom_site_fract_x
_atom_site_fract_y
_atom_site_fract_z
Sc1 0.000 0.000 0.095
Sc2 0.000 0.000 0.365
In1 0.500 0.500 0.232
In2 0.500 0.500 0.500
Ni1 0.500 0.500 0.000



# ScIn2Ni, relaxed, DFT GGA-PBE
# - DOS at the Fermi energy (states/eV/f.u.) = 2.780
data_ScIn2Ni
_space_group_name_H-M_alt 'I 4/m m m'
_space_group_IT_number 139
_space_group_name_Hall '-I 4 2'
_cell_length_a 4.471
_cell_length_b 4.471
_cell_length_c 15.581
_cell_angle_alpha 90.00
_cell_angle_beta 90.00
_cell_angle_gamma 90.00
loop_
_atom_site_label
_atom_site_fract_x
_atom_site_fract_y
_atom_site_fract_z
Sc1 0.000 0.000 0.144
In1 0.000 0.000 0.344
In2 0.000 0.500 0.000
Ni1 0.000 0.500 0.250



Energy of formation from the pure elements for every record listed, in sequence, given in meV per atom: -222; -14; -128; 51; -187; -346; -235; -456; -70; -349; -213; -147; -151; -369; -199; 262; -201; -342; -456; -360.